{"formula": "Sc2GaAgS", "functional": "PBEsol", "state": "relaxed", "lattice_angstrom": [[4.590, 0.000, 0.000], [0.000, 4.745, 0.000], [0.000, 0.000, 4.745]], "species": ["Sc", "Ga", "S", "Sc", "Ag"], "frac_coords": [[0.000, 0.500, 0.000], [0.500, 0.500, 0.500], [0.000, 0.000, 0.000], [0.000, 0.000, 0.500], [0.500, 0.000, 0.000]], "e_form_raw_ev_per_atom": -0.51, "crystal_system": "tetragonal", "magnetic_moment_mub_per_cell": 0.0}



{"formula": "Zn3GaAgS5", "functional": "PBEsol", "state": "relaxed", "lattice_angstrom": [[-5.088, -3.090, -2.035], [3.759, -5.240, -1.448], [0.460, -6.077, 8.068]], "species": ["Ga", "Ag", "Ga", "Zn", "S", "S", "S", "S", "S", "S", "S", "S", "Zn", "S", "Zn", "S", "Zn", "Zn", "Ag", "Zn"], "frac_coords": [[0.001, 0.074, 0.198], [0.508, 0.331, 0.000], [0.500, 0.936, 0.800], [0.003, 0.466, 0.401], [0.901, 0.336, 0.999], [0.372, 0.468, 0.396], [0.370, 0.687, 0.998], [0.363, 0.058, 0.213], [0.862, 0.929, 0.811], [0.872, 0.511, 0.599], [0.868, 0.148, 0.386], [0.870, 0.743, 0.203], [0.999, 0.260, 0.796], [0.369, 0.261, 0.788], [0.498, 0.134, 0.405], [0.399, 0.859, 0.605], [0.000, 0.672, 0.005], [0.508, 0.525, 0.596], [0.006, 0.865, 0.599], [0.494, 0.738, 0.200]], "e_form_raw_ev_per_atom": -0.68, "crystal_system": "triclinic", "magnetic_moment_mub_per_cell": 0.0}



{"formula": "Ga3AgSe", "functional": "PBEsol", "state": "relaxed", "lattice_angstrom": [[4.849, 0.000, 0.000], [0.000, 4.849, 0.000], [0.000, 0.000, 4.849]], "species": ["Se", "Ga", "Ga", "Ga", "Ag"], "frac_coords": [[0.500, 0.500, 0.500], [0.000, 0.000, 0.500], [0.500, 0.000, 0.000], [0.000, 0.500, 0.000], [0.000, 0.000, 0.000]], "e_form_raw_ev_per_atom": 0.18, "crystal_system": "cubic", "magnetic_moment_mub_per_cell": 0.0}



{"formula": "GaAg9Se6", "functional": "PBEsol", "state": "relaxed", "lattice_angstrom": [[10.990, 0.000, 0.000], [0.000, 10.990, 0.000], [0.000, 0.000, 10.990]], "species": ["Ga", "Ag", "Se", "Se", "Se", "Ag", "Ag", "Ag", "Ag", "Se", "Ag", "Se", "Ag", "Ag", "Se", "Ag", "Ag", "Se", "Ag", "Ag", "Se", "Ag", "Se", "Se", "Ag", "Se", "Ag", "Ag", "Se", "Ag", "Ag", "Ag", "Ag", "Se", "Ag", "Ga", "Ag", "Ag", "Ag", "Ag", "Ag", "Se", "Se", "Se", "Se", "Ag", "Se", "Se", "Ga", "Ag", "Ag", "Se", "Se", "Se", "Ag", "Ag", "Ag", "Ag", "Ag", "Se", "Ag", "Ag", "Se", "Ga"], "frac_coords": [[0.991, 0.491, 0.009], [0.866, 0.325, 0.425], [0.531, 0.469, 0.969], [0.139, 0.599, 0.127], [0.634, 0.634, 0.634], [0.835, 0.041, 0.869], [0.075, 0.134, 0.825], [0.369, 0.665, 0.959], [0.533, 0.275, 0.767], [0.969, 0.531, 0.469], [0.325, 0.425, 0.866], [0.599, 0.127, 0.139], [0.967, 0.725, 0.267], [0.775, 0.733, 0.467], [0.031, 0.031, 0.031], [0.541, 0.631, 0.165], [0.634, 0.675, 0.925], [0.233, 0.733, 0.767], [0.733, 0.467, 0.775], [0.335, 0.459, 0.131], [0.373, 0.861, 0.099], [0.134, 0.825, 0.075], [0.267, 0.267, 0.267], [0.401, 0.627, 0.361], [0.767, 0.533, 0.275], [0.366, 0.134, 0.866], [0.665, 0.959, 0.369], [0.175, 0.575, 0.366], [0.469, 0.969, 0.531], [0.675, 0.925, 0.634], [0.925, 0.634, 0.675], [0.467, 0.775, 0.733], [0.575, 0.366, 0.175], [0.873, 0.639, 0.901], [0.131, 0.335, 0.459], [0.491, 0.009, 0.991], [0.869, 0.835, 0.041], [0.459, 0.131, 0.335], [0.267, 0.967, 0.725], [0.631, 0.165, 0.541], [0.425, 0.866, 0.325], [0.134, 0.866, 0.366], [0.861, 0.099, 0.373], [0.901, 0.873, 0.639], [0.361, 0.401, 0.627], [0.959, 0.369, 0.665], [0.127, 0.139, 0.599], [0.099, 0.373, 0.861], [0.509, 0.509, 0.509], [0.275, 0.767, 0.533], [0.825, 0.075, 0.134], [0.733, 0.767, 0.233], [0.639, 0.901, 0.873], [0.627, 0.361, 0.401], [0.033, 0.225, 0.233], [0.366, 0.175, 0.575], [0.725, 0.267, 0.967], [0.165, 0.541, 0.631], [0.041, 0.869, 0.835], [0.767, 0.233, 0.733], [0.233, 0.033, 0.225], [0.225, 0.233, 0.033], [0.866, 0.366, 0.134], [0.009, 0.991, 0.491]], "e_form_raw_ev_per_atom": -0.14, "crystal_system": "cubic", "magnetic_moment_mub_per_cell": 0.0}



{"formula": "Zn2GaAgSe4", "functional": "PBEsol", "state": "relaxed", "lattice_angstrom": [[5.767, 0.000, 0.000], [0.000, 5.767, 0.000], [-2.883, -2.883, 5.594]], "species": ["Se", "Zn", "Se", "Se", "Ag", "Ga", "Zn", "Se"], "frac_coords": [[0.891, 0.891, 0.258], [0.250, 0.750, 0.500], [0.633, 0.109, 0.742], [0.109, 0.633, 0.742], [0.500, 0.500, 0.000], [0.000, 0.000, 0.000], [0.750, 0.250, 0.500], [0.367, 0.367, 0.258]], "e_form_raw_ev_per_atom": -0.54, "crystal_system": "tetragonal", "magnetic_moment_mub_per_cell": 0.0}



{"formula": "GaSi3Ag", "functional": "PBEsol", "state": "relaxed", "lattice_angstrom": [[-2.014, -3.294, 2.649], [4.226, -1.623, 1.195], [0.078, 2.905, 3.671]], "species": ["Si", "Ga", "Si", "Ag", "Si"], "frac_coords": [[0.000, 0.000, 0.500], [0.000, 0.000, 0.000], [0.500, 0.000, 0.000], [0.500, 0.500, 0.500], [0.000, 0.500, 0.000]], "e_form_raw_ev_per_atom": 1.02, "crystal_system": "cubic", "magnetic_moment_mub_per_cell": 0.0}



{"formula": "GaSi2Ag2", "functional": "PBEsol", "state": "relaxed", "lattice_angstrom": [[3.453, 0.000, 0.000], [0.000, 3.453, 0.000], [-1.727, -1.727, 7.180]], "species": ["Si", "Ga", "Ag", "Si", "Ag"], "frac_coords": [[0.250, 0.750, 0.500], [0.000, 0.000, 0.000], [0.401, 0.401, 0.802], [0.750, 0.250, 0.500], [0.599, 0.599, 0.198]], "e_form_raw_ev_per_atom": 0.25, "crystal_system": "tetragonal", "magnetic_moment_mub_per_cell": 0.0}



{"formula": "Sm4Ga7Ag5", "functional": "PBEsol", "state": "relaxed", "lattice_angstrom": [[4.367, 0.000, 0.000], [0.000, 6.960, -0.002], [0.000, -0.044, 10.145]], "species": ["Sm", "Ga", "Sm", "Ag", "Ga", "Ag", "Ga", "Ag", "Sm", "Ga", "Ag", "Ga", "Ga", "Ag", "Ga", "Sm"], "frac_coords": [[0.000, 0.281, 0.668], [0.500, 0.082, 0.847], [0.500, 0.720, 0.331], [0.500, 0.461, 0.904], [0.000, 0.207, 0.964], [0.500, 0.299, 0.461], [0.500, 0.795, 0.036], [0.000, 0.540, 0.097], [0.000, 0.787, 0.831], [0.000, 0.422, 0.347], [0.500, 0.954, 0.600], [0.000, 0.704, 0.537], [0.000, 0.918, 0.152], [0.000, 0.039, 0.402], [0.500, 0.577, 0.653], [0.500, 0.214, 0.171]], "crystal_system": "monoclinic", "magnetic_moment_mub_per_cell": 0.0, "energy_ev_per_cell": -68.91}



{"formula": "Ga2AgSn2", "functional": "PBEsol", "state": "relaxed", "lattice_angstrom": [[4.487, 0.000, 0.000], [0.000, 6.866, 0.000], [0.000, 0.000, 6.866]], "species": ["Sn", "Sn", "Ag", "Ag", "Sn", "Ga", "Sn", "Ga", "Ga", "Ga"], "frac_coords": [[0.500, 0.323, 0.177], [0.500, 0.823, 0.323], [0.000, 0.000, 0.000], [0.000, 0.500, 0.500], [0.500, 0.177, 0.677], [0.000, 0.365, 0.865], [0.500, 0.677, 0.823], [0.000, 0.135, 0.365], [0.000, 0.635, 0.135], [0.000, 0.865, 0.635]], "crystal_system": "tetragonal", "magnetic_moment_mub_per_cell": 0.0, "energy_ev_per_cell": -36.44}



{"formula": "Ga2AgSn", "functional": "PBEsol", "state": "relaxed", "lattice_angstrom": [[-1.202, 1.107, -4.049], [3.587, -1.917, -1.589], [-5.548, -7.112, 2.056]], "species": ["Ag", "Ga", "Ga", "Ag", "Sn", "Ga", "Ga", "Sn"], "frac_coords": [[0.500, 0.500, 0.000], [0.436, 0.875, 0.250], [0.625, 0.564, 0.750], [0.750, 0.250, 0.500], [0.000, 0.000, 0.000], [0.814, 0.375, 0.250], [0.125, 0.186, 0.750], [0.250, 0.750, 0.500]], "crystal_system": "tetragonal", "magnetic_moment_mub_per_cell": 0.0, "energy_ev_per_cell": -27.89}



{"formula": "SrGa2Ag2", "functional": "PBEsol", "state": "relaxed", "lattice_angstrom": [[4.601, 0.000, 0.000], [0.000, 4.601, 0.000], [-2.300, -2.300, 4.996]], "species": ["Sr", "Ag", "Ga", "Ga", "Ag"], "frac_coords": [[0.000, 0.000, 0.000], [0.250, 0.750, 0.500], [0.375, 0.375, 0.750], [0.625, 0.625, 0.250], [0.750, 0.250, 0.500]], "crystal_system": "tetragonal", "magnetic_moment_mub_per_cell": 0.0, "energy_ev_per_cell": -16.83}



{"formula": "TaGa2Ag", "functional": "PBEsol", "state": "relaxed", "lattice_angstrom": [[-0.983, 3.438, -2.738], [-1.592, -0.800, -4.136], [-4.294, 0.941, -0.981]], "species": ["Ga", "Ta", "Ga", "Ag"], "frac_coords": [[0.250, 0.250, 0.250], [0.500, 0.500, 0.500], [0.750, 0.750, 0.750], [0.000, 0.000, 0.000]], "crystal_system": "cubic", "magnetic_moment_mub_per_cell": 0.0, "energy_ev_per_cell": -21.75}